Entry from Alexandria: Tl2AgO6 after structural relaxation (PBE).

```
Tl2AgO6
1.0
4.988 0.000 0.000
0.000 4.988 0.000
0.000 0.000 10.279
Tl Ag O
4 2 12
direct
0.000 0.000 0.167 Tl
0.000 0.000 0.833 Tl
0.500 0.500 0.333 Tl
0.500 0.500 0.667 Tl
0.000 0.000 0.500 Ag
0.500 0.500 0.000 Ag
0.183 0.183 0.345 O
0.183 0.183 0.655 O
0.206 0.206 0.000 O
0.294 0.706 0.500 O
0.317 0.683 0.155 O
0.317 0.683 0.845 O
0.683 0.317 0.155 O
0.683 0.317 0.845 O
0.706 0.294 0.500 O
0.794 0.794 0.000 O
0.817 0.817 0.345 O
0.817 0.817 0.655 O
```

Output
The final energy is -0.1520 hartree per atom. As for the magnetization: 0.133 μB/atom. The value obtained for the formation energy (no corrections) is 0.013 eV/atom.